1.
A plane-wave DFT calculation with PBE was carried out for a relaxed ZnRu4Pt crystal.

Lattice parameters (Å, degrees): 7.1805 7.1805 7.1805 90.00 90.00 90.00
With the nearest neighbours (Å) after each atom.
Space group F-43m (No. 216)
One atom of each set of equivalent atoms:
1 Zn 0.0000 0.0000 0.0000  12 Ru 2.98, 4 Pt 3.11
2 Ru 0.1246 0.1246 0.3754  6 Ru 2.53-2.55
3 Pt 0.2500 0.2500 0.7500  12 Ru 2.98, 4 Zn 3.11

Properties
Energy = -165.00 eV for the cell shown

2.
A plane-wave DFT calculation with PBE was carried out for a relaxed La8SbTe4Se3 crystal.

Lattice parameters (Å, degrees): 8.9398 8.9398 22.2181 90.00 90.00 120.00
With the nearest neighbours (Å) after each atom.
Space group R-3m (No. 166, hexagonal axes)
One atom of each set of equivalent atoms:
1 La 0.0000 0.0000 0.2410  3 Se 3.06, 3 Te 3.30
2 La 0.0094 0.5047 0.7568  2 Se 3.06, 1 Sb 3.15, 3 Te 3.21-3.30
3 Sb 0.0000 0.0000 0.5000  6 La 3.15
4 Te 0.0000 0.0000 0.0000  6 La 3.21
5 Te 0.0000 0.5000 0.0000  6 La 3.30
6 Se 0.0000 0.5000 0.5000  6 La 3.06

Properties
Uncorrected formation energy = -1.7122 eV/atom

3.
A plane-wave DFT calculation with PBE was carried out for a relaxed InSn2Hg crystal.

Lattice parameters (Å, degrees): 5.0099 5.0099 4.2679 90.00 90.00 90.00
With the nearest neighbours (Å) after each atom.
Space group P4/mmm (No. 123)
One atom of each set of equivalent atoms:
1 In 0.0000 0.0000 0.0000  8 Sn 3.29, 4 Hg 3.54
2 Sn 0.0000 0.5000 0.5000  4 Hg 3.29, 4 In 3.29, 4 Sn 3.54
3 Hg 0.5000 0.5000 0.0000  8 Sn 3.29, 4 In 3.54

Properties
ΔE to the lowest computed polymorph = 19 meV/atom

Which density belongs to each record? In order, 11.9 6.4 8.6 g/cm³.